DFT (PBE-GGA) results for CePm4TmS8 after structural relaxation.

Geometry as extended XYZ:
```
14
Lattice="4.138 2.389 6.683 -4.138 2.389 6.683 0.000 -4.778 6.683" Properties=species:S:1:pos:R:3 pbc="T T T"
Ce 0.000 0.000 0.000
Pm 0.000 -2.389 10.898
Pm -2.069 1.195 10.898
Pm 0.000 0.000 15.115
Pm 2.069 1.195 10.898
Tm 0.000 0.000 7.548
S 0.000 0.000 2.709
S 0.000 -2.157 5.891
S -1.868 1.078 5.891
S -1.891 -1.092 9.202
S 1.868 1.078 5.891
S 1.891 -1.092 9.202
S 0.000 2.184 9.202
S 0.000 0.000 12.444
```

Summary:
- formation energy without anion corrections (meV per atom) = -1904

DFT (PBE-GGA) results for UTcTe after structural relaxation.

Geometry as extended XYZ:
```
6
Lattice="5.121 0.000 0.000 -0.584 5.260 0.000 -0.575 -0.499 5.424" Properties=species:S:1:pos:R:3 pbc="T T T"
U 0.000 0.000 0.000
U -0.577 2.796 2.313
Tc -0.039 0.126 2.691
Tc 4.049 2.279 5.176
Te 1.497 1.717 4.472
Te 2.003 4.674 1.836
```

Summary:
- formation energy without anion corrections (meV per atom) = -107

DFT (PBE-GGA) results for BaMoSe2 after structural relaxation.

Geometry as extended XYZ:
```
4
Lattice="3.357 0.000 0.000 0.000 3.357 0.000 0.000 0.000 7.756" Properties=species:S:1:pos:R:3 pbc="T T T"
Ba 0.000 0.000 0.000
Mo 0.000 0.000 3.878
Se 1.679 1.679 2.390
Se 1.679 1.679 5.366
```

Summary:
- formation energy without anion corrections (meV per atom) = -390
- energy above the lowest structure with this stoichiometry (meV per atom) = 370

DFT (PBE-GGA) results for Pa3P2Rh7 after structural relaxation.

Geometry as extended XYZ:
```
12
Lattice="-1.975 1.975 13.254 1.975 -1.975 13.254 1.975 1.975 -13.254" Properties=species:S:1:pos:R:3 pbc="T T T"
Pa 0.000 0.000 0.000
Pa 0.000 0.000 4.586
Pa 0.000 0.000 21.923
P 0.000 0.000 9.816
P 0.000 0.000 16.693
Rh 1.975 0.000 2.149
Rh 0.000 0.000 7.448
Rh 1.975 0.000 11.106
Rh 0.000 0.000 13.254
Rh 0.000 1.975 2.149
Rh 0.000 0.000 19.061
Rh 0.000 1.975 11.106
```

Summary:
- formation enthalpy at 0 K (meV per atom) = -920.7

DFT (PBE-GGA) results for Co2CuHPt after structural relaxation.

Geometry as extended XYZ:
```
5
Lattice="3.666 0.000 0.000 0.000 3.666 0.000 0.000 0.000 3.868" Properties=species:S:1:pos:R:3 pbc="T T T"
Co 0.000 1.833 0.000
Co 1.833 0.000 0.000
Cu 0.000 0.000 1.934
H 0.000 0.000 0.000
Pt 1.833 1.833 1.934
```

Summary:
- energy above the lowest structure with this stoichiometry (meV per atom) = 0

DFT (PBE-GGA) results for Ac6Co2PdCl3 after structural relaxation.

Geometry as extended XYZ:
```
12
Lattice="10.109 -2.134 0.000 10.109 2.134 0.000 -3.256 0.000 8.811" Properties=species:S:1:pos:R:3 pbc="T T T"
Ac -0.438 0.000 2.084
Ac 5.024 0.000 3.930
Ac 3.973 0.000 7.737
Ac 12.988 0.000 1.073
Ac 11.937 0.000 4.881
Ac 17.399 0.000 6.727
Co 2.283 0.000 2.942
Co 14.679 0.000 5.869
Pd 10.109 0.000 0.000
Cl 0.678 0.000 7.361
Cl 8.481 0.000 4.405
Cl 16.283 0.000 1.450
```

Summary:
- formation energy without anion corrections (meV per atom) = -972

DFT (PBE-GGA) results for SmDyPa2S4 after structural relaxation.

Geometry as extended XYZ:
```
8
Lattice="6.686 0.000 0.000 0.000 3.865 0.000 -2.238 0.000 6.606" Properties=species:S:1:pos:R:3 pbc="T T T"
Sm 0.000 0.000 0.000
Dy 3.343 1.932 0.000
Pa -1.119 1.932 3.303
Pa 2.224 0.000 3.303
S 1.137 1.932 1.659
S 0.020 0.000 4.966
S 4.429 0.000 1.640
S 3.311 1.932 4.947
```

Summary:
- formation energy without anion corrections (meV per atom) = -1774

DFT (PBE-GGA) results for Sr2YCo after structural relaxation.

Geometry as extended XYZ:
```
4
Lattice="3.768 0.000 0.000 0.000 2.024 9.053 0.000 -2.024 9.053" Properties=species:S:1:pos:R:3 pbc="T T T"
Sr 0.000 0.000 0.000
Sr 1.884 0.000 5.636
Y 0.000 0.000 12.064
Co 1.884 0.000 2.559
```

Summary:
- energy above the lowest structure with this stoichiometry (meV per atom) = 0
- formation enthalpy at 0 K (meV per atom) = 126.2

The calculation returns the following E values, one per record and in order: -89.1; -50.2; -21.3; -101.8; -27.4; -61.3; -59.0; -16.4 eV per cell.